{"formula": "SrCrF4", "functional": "GGA+U", "state": "optimized geometry", "volume_a3_per_cell": 184, "e_above_lowest_polymorph_mev_per_atom": 0, "total_energy_ev_per_atom": -6.058, "lattice": [[-2.879, 2.879, 5.540], [2.879, -2.879, 5.540], [2.879, 2.879, -5.540]], "species": ["Sr", "Sr", "Cr", "Cr", "F", "F", "F", "F", "F", "F", "F", "F"], "frac_coords": [[0.250, 0.250, 0.000], [0.750, 0.750, 0.000], [0.000, 0.500, 0.500], [0.500, 0.000, 0.500], [0.053, 0.553, 0.858], [0.195, 0.053, 0.500], [0.305, 0.805, 0.858], [0.447, 0.305, 0.500], [0.553, 0.695, 0.500], [0.695, 0.195, 0.142], [0.805, 0.947, 0.500], [0.947, 0.447, 0.142]]}